No. 1
This record from the Alexandria database describes an optimized crystal structure of TaMnPt3. The functional is PBE-GGA.

The structure in POSCAR format:
```
TaMnPt3
1.0
4.548 -1.986 0.000
4.548 1.986 0.000
-0.391 0.000 8.789
Ta Mn Pt
2 2 6
Direct
0.148 0.148 0.071
0.852 0.852 0.929
0.356 0.356 0.445
0.644 0.644 0.555
0.063 0.063 0.360
0.246 0.246 0.748
0.445 0.445 0.144
0.555 0.555 0.856
0.754 0.754 0.252
0.937 0.937 0.640
```

**Symmetry**: C2/m
**Density of states at the Fermi level**: 0.709 states/eV per atom
**Energy above the lowest structure with this stoichiometry**: 0 meV per atom

=====

No. 2
This record from the Alexandria database describes an optimized crystal structure of AcNp2As4Pt. The functional is PBE-GGA.

The structure in POSCAR format:
```
AcNp2As4Pt
1.0
2.073 -6.916 0.000
2.073 6.916 0.000
0.000 0.000 13.936
Ac Np As Pt
2 4 8 2
Direct
0.116 0.884 0.750
0.884 0.116 0.250
0.370 0.630 0.561
0.370 0.630 0.939
0.630 0.370 0.061
0.630 0.370 0.439
0.000 0.000 0.000
0.000 0.000 0.500
0.267 0.733 0.112
0.267 0.733 0.388
0.447 0.553 0.750
0.553 0.447 0.250
0.733 0.267 0.612
0.733 0.267 0.888
0.152 0.848 0.250
0.848 0.152 0.750
```

**DFT total energy**: -121.7 eV per cell
**Symmetry**: Cmcm
**Density of states at the Fermi level**: 2.896 states/eV per atom

=====

No. 3
This record from the Alexandria database describes an optimized crystal structure of Sc2GaI. The functional is PBE-GGA.

The structure in POSCAR format:
```
Sc2GaI
1.0
4.257 0.000 0.000
-2.129 3.687 0.000
0.000 0.000 24.325
Sc Ga I
6 3 3
Direct
0.000 0.000 0.117
0.000 0.000 0.883
0.333 0.667 0.550
0.333 0.667 0.784
0.667 0.333 0.216
0.667 0.333 0.450
0.000 0.000 0.500
0.333 0.667 0.167
0.667 0.333 0.833
0.000 0.000 0.000
0.333 0.667 0.667
0.667 0.333 0.333
```

**Symmetry**: R-3m
**Density of states at the Fermi level**: 0.000 states/eV per atom
**Uncorrected formation energy**: -1.79 eV per formula unit
**Energy above the lowest structure with this stoichiometry**: 0 meV per atom

=====

No. 4
This record from the Alexandria database describes an optimized crystal structure of KLiTaCl6. The functional is PBE-GGA.

The structure in POSCAR format:
```
KLiTaCl6
1.0
6.583 0.000 0.000
-3.292 5.701 0.000
0.000 0.000 13.860
K Li Ta Cl
2 2 2 12
Direct
0.000 0.000 0.000
0.000 0.000 0.500
0.333 0.667 0.250
0.667 0.333 0.750
0.333 0.667 0.750
0.667 0.333 0.250
0.019 0.380 0.649
0.019 0.640 0.851
0.360 0.380 0.851
0.360 0.981 0.649
0.380 0.019 0.149
0.380 0.360 0.351
0.620 0.640 0.649
0.620 0.981 0.851
0.640 0.019 0.351
0.640 0.620 0.149
0.981 0.360 0.149
0.981 0.620 0.351
```

**Symmetry**: P-31c
**Density of states at the Fermi level**: 0.919 states/eV per atom
**Uncorrected formation energy**: -13.85 eV per formula unit

=====

No. 5
This record from the Alexandria database describes an optimized crystal structure of AgP2. The functional is PBE-GGA.

The structure in POSCAR format:
```
AgP2
1.0
6.107 0.000 0.000
0.000 6.107 0.000
0.000 0.000 6.107
Ag P
4 8
Direct
0.000 0.000 0.000
0.000 0.500 0.500
0.500 0.000 0.500
0.500 0.500 0.000
0.250 0.250 0.250
0.250 0.250 0.750
0.250 0.750 0.250
0.250 0.750 0.750
0.750 0.250 0.250
0.750 0.250 0.750
0.750 0.750 0.250
0.750 0.750 0.750
```

**Symmetry**: Fm-3m
**Density of states at the Fermi level**: 0.349 states/eV per atom
**Energy above the lowest structure with this stoichiometry**: 633 meV per atom

=====

No. 6
This record from the Alexandria database describes an optimized crystal structure of Rb6AuI2O. The functional is PBE-GGA.

The structure in POSCAR format:
```
Rb6AuI2O
1.0
4.193 2.421 16.484
-4.193 2.421 16.484
0.000 -4.841 16.484
Rb Au I O
12 2 4 2
Direct
0.120 0.120 0.660
0.120 0.660 0.120
0.220 0.689 0.689
0.311 0.311 0.780
0.311 0.780 0.311
0.340 0.880 0.880
0.660 0.120 0.120
0.689 0.220 0.689
0.689 0.689 0.220
0.780 0.311 0.311
0.880 0.340 0.880
0.880 0.880 0.340
0.087 0.087 0.087
0.913 0.913 0.913
0.190 0.190 0.190
0.356 0.356 0.356
0.644 0.644 0.644
0.810 0.810 0.810
0.000 0.000 0.000
0.500 0.500 0.500
```

**Symmetry**: R-3m
**Density of states at the Fermi level**: 0.519 states/eV per atom
**Uncorrected formation energy**: -8.94 eV per formula unit

=====

No. 7
This record from the Alexandria database describes an optimized crystal structure of MgNb2O. The functional is PBE-GGA.

The structure in POSCAR format:
```
MgNb2O
1.0
6.318 0.000 0.000
0.000 6.318 0.000
0.000 0.000 6.318
Mg Nb O
4 8 4
Direct
0.000 0.000 0.000
0.000 0.500 0.500
0.500 0.000 0.500
0.500 0.500 0.000
0.250 0.250 0.250
0.250 0.250 0.750
0.250 0.750 0.250
0.250 0.750 0.750
0.750 0.250 0.250
0.750 0.250 0.750
0.750 0.750 0.250
0.750 0.750 0.750
0.000 0.000 0.500
0.000 0.500 0.000
0.500 0.000 0.000
0.500 0.500 0.500
```

**Symmetry**: Fm-3m
**Density of states at the Fermi level**: 0.991 states/eV per atom
**Uncorrected formation energy**: 2.64 eV per formula unit
**Energy above the lowest structure with this stoichiometry**: 1060 meV per atom

=====

No. 8
This record from the Alexandria database describes an optimized crystal structure of BaNa2MgPd. The functional is PBE-GGA.

The structure in POSCAR format:
```
BaNa2MgPd
1.0
5.579 0.000 0.000
0.000 5.579 0.000
0.000 0.000 5.221
Ba Na Mg Pd
1 2 1 1
Direct
0.000 0.000 0.000
0.000 0.500 0.500
0.500 0.000 0.500
0.500 0.500 0.000
0.500 0.500 0.500
```

**DFT total energy**: -11.7 eV per cell
**Symmetry**: P4/mmm
**Density of states at the Fermi level**: 0.541 states/eV per atom

=====

No. 9
This record from the Alexandria database describes an optimized crystal structure of Mg4Pd3. The functional is PBE-GGA.

The structure in POSCAR format:
```
Mg4Pd3
1.0
2.256 1.303 7.197
-2.256 1.303 7.197
0.000 -2.605 7.197
Mg Pd
4 3
Direct
0.120 0.120 0.120
0.372 0.372 0.372
0.628 0.628 0.628
0.880 0.880 0.880
0.246 0.246 0.246
0.500 0.500 0.500
0.754 0.754 0.754
```

**Symmetry**: R-3m
**Density of states at the Fermi level**: 0.439 states/eV per atom
**Energy above the lowest structure with this stoichiometry**: 24 meV per atom

=====

No. 10
This record from the Alexandria database describes an optimized crystal structure of TmHO. The functional is PBE-GGA.

The structure in POSCAR format:
```
TmHO
1.0
5.202 0.000 0.000
0.000 5.202 0.000
0.000 0.000 5.202
Tm H O
4 4 4
Direct
0.000 0.000 0.000
0.000 0.500 0.500
0.500 0.000 0.500
0.500 0.500 0.000
0.250 0.250 0.750
0.250 0.750 0.250
0.750 0.250 0.250
0.750 0.750 0.750
0.250 0.250 0.250
0.250 0.750 0.750
0.750 0.250 0.750
0.750 0.750 0.250
```

**Symmetry**: F-43m
**Density of states at the Fermi level**: 0.000 states/eV per atom
**Energy above the lowest structure with this stoichiometry**: 0 meV per atom

=====

No. 11
This record from the Alexandria database describes an optimized crystal structure of ZrIn3As. The functional is PBE-GGA.

The structure in POSCAR format:
```
ZrIn3As
1.0
5.244 0.000 0.000
0.000 5.244 0.000
0.000 0.000 5.244
Zr In As
1 3 1
Direct
0.000 0.000 0.000
0.000 0.500 0.500
0.500 0.000 0.500
0.500 0.500 0.000
0.500 0.500 0.500
```

**Symmetry**: Pm-3m
**Density of states at the Fermi level**: 1.030 states/eV per atom
**Energy above the lowest structure with this stoichiometry**: 0 meV per atom

=====

No. 12
This record from the Alexandria database describes an optimized crystal structure of UCdAg2O6. The functional is PBE-GGA.

The structure in POSCAR format:
```
UCdAg2O6
1.0
5.135 -3.048 0.000
5.135 3.048 0.000
-2.961 0.000 4.835
U Cd Ag O
1 1 2 6
Direct
0.000 0.000 0.000
0.500 0.500 0.500
0.247 0.247 0.658
0.753 0.753 0.342
0.164 0.662 0.672
0.193 0.193 0.021
0.338 0.836 0.328
0.662 0.164 0.672
0.807 0.807 0.979
0.836 0.338 0.328
```

**Symmetry**: C2/m
**Density of states at the Fermi level**: 0.633 states/eV per atom
**Uncorrected formation energy**: -13.44 eV per formula unit

=====

No. 13
This record from the Alexandria database describes an optimized crystal structure of LaNiP. The functional is PBE-GGA.

The structure in POSCAR format:
```
LaNiP
1.0
4.248 0.000 0.000
0.000 5.757 0.000
0.000 0.000 10.007
La Ni P
4 4 4
Direct
0.000 0.000 0.000
0.000 0.500 0.500
0.500 0.000 0.500
0.500 0.500 0.000
0.000 0.000 0.715
0.000 0.500 0.215
0.500 0.000 0.215
0.500 0.500 0.715
0.000 0.000 0.292
0.000 0.500 0.792
0.500 0.000 0.792
0.500 0.500 0.292
```

**DFT total energy**: -69.8 eV per cell
**Symmetry**: Fmm2
**Density of states at the Fermi level**: 0.970 states/eV per atom

=====

No. 14
This record from the Alexandria database describes an optimized crystal structure of Pm2Al4Ni3Au. The functional is PBE-GGA.

The structure in POSCAR format:
```
Pm2Al4Ni3Au
1.0
4.144 0.000 0.000
0.000 4.144 0.000
0.000 0.000 10.422
Pm Al Ni Au
2 4 3 1
Direct
0.000 0.500 0.240
0.500 0.000 0.760
0.000 0.000 0.000
0.000 0.500 0.639
0.500 0.000 0.361
0.500 0.500 0.000
0.000 0.500 0.871
0.500 0.000 0.129
0.500 0.500 0.500
0.000 0.000 0.500
```

**DFT total energy**: -51.0 eV per cell
**Symmetry**: P-4m2
**Density of states at the Fermi level**: 0.693 states/eV per atom

=====

No. 15
This record from the Alexandria database describes an optimized crystal structure of Pb2SI. The functional is PBE-GGA.

The structure in POSCAR format:
```
Pb2SI
1.0
7.720 0.000 0.000
0.000 7.720 0.000
0.000 0.000 7.720
Pb S I
8 4 4
Direct
0.250 0.250 0.250
0.250 0.250 0.750
0.250 0.750 0.250
0.250 0.750 0.750
0.750 0.250 0.250
0.750 0.250 0.750
0.750 0.750 0.250
0.750 0.750 0.750
0.000 0.000 0.000
0.000 0.500 0.500
0.500 0.000 0.500
0.500 0.500 0.000
0.000 0.000 0.500
0.000 0.500 0.000
0.500 0.000 0.000
0.500 0.500 0.500
```

**Symmetry**: Fm-3m
**Density of states at the Fermi level**: 0.372 states/eV per atom
**Uncorrected formation energy**: -0.59 eV per formula unit
**Energy above the lowest structure with this stoichiometry**: 223 meV per atom

=====

No. 16
This record from the Alexandria database describes an optimized crystal structure of PrTm4Pt4. The functional is PBE-GGA.

The structure in POSCAR format:
```
PrTm4Pt4
1.0
9.098 0.000 0.000
0.000 9.098 0.000
0.000 0.000 5.652
Pr Tm Pt
2 8 8
Direct
0.250 0.250 0.250
0.750 0.750 0.750
0.087 0.648 0.166
0.148 0.913 0.666
0.352 0.587 0.666
0.413 0.852 0.166
0.587 0.148 0.834
0.648 0.413 0.334
0.852 0.087 0.334
0.913 0.352 0.834
0.044 0.618 0.668
0.118 0.956 0.168
0.382 0.544 0.168
0.456 0.882 0.668
0.544 0.118 0.332
0.618 0.456 0.832
0.882 0.044 0.832
0.956 0.382 0.332
```

**DFT total energy**: -113.0 eV per cell
**Symmetry**: P4_2/n
**Density of states at the Fermi level**: 0.786 states/eV per atom

=====

No. 17
This record from the Alexandria database describes an optimized crystal structure of TlPSCl2. The functional is PBE-GGA.

The structure in POSCAR format:
```
TlPSCl2
1.0
5.156 0.000 0.000
0.000 5.156 0.000
0.000 0.000 4.495
Tl P S Cl
1 1 1 2
Direct
0.000 0.000 0.000
0.500 0.500 0.500
0.500 0.500 0.000
0.000 0.500 0.500
0.500 0.000 0.500
```

**Symmetry**: P4/mmm
**Density of states at the Fermi level**: 0.220 states/eV per atom
**Uncorrected formation energy**: -1.56 eV per formula unit
**Energy above the lowest structure with this stoichiometry**: 0 meV per atom

=====

No. 18
This record from the Alexandria database describes an optimized crystal structure of Al2ZnGa2. The functional is PBE-GGA.

The structure in POSCAR format:
```
Al2ZnGa2
1.0
-3.762 4.874 2.517
3.762 -4.874 2.517
3.762 4.874 -2.517
Al Zn Ga
4 2 4
Direct
0.065 0.193 0.258
0.435 0.693 0.129
0.565 0.307 0.871
0.935 0.807 0.742
0.250 0.750 0.500
0.750 0.250 0.500
0.211 0.891 0.101
0.289 0.391 0.680
0.711 0.609 0.320
0.789 0.109 0.899
```

**Symmetry**: Ibam
**Density of states at the Fermi level**: 0.345 states/eV per atom
**Energy above the lowest structure with this stoichiometry**: 3 meV per atom

=====

No. 19
This record from the Alexandria database describes an optimized crystal structure of TiMoS2. The functional is PBE-GGA.

The structure in POSCAR format:
```
TiMoS2
1.0
3.107 0.000 0.000
-1.553 2.691 0.000
0.000 0.000 23.872
Ti Mo S
3 3 6
Direct
0.000 0.000 0.000
0.333 0.667 0.667
0.667 0.333 0.333
0.000 0.000 0.500
0.333 0.667 0.167
0.667 0.333 0.833
0.000 0.000 0.401
0.000 0.000 0.599
0.333 0.667 0.067
0.333 0.667 0.266
0.667 0.333 0.734
0.667 0.333 0.933
```

**Symmetry**: R-3m
**Density of states at the Fermi level**: 0.674 states/eV per atom
**Uncorrected formation energy**: -1.96 eV per formula unit
**Energy above the lowest structure with this stoichiometry**: 80 meV per atom

=====

No. 20
This record from the Alexandria database describes an optimized crystal structure of BaSr2AcHg4. The functional is PBE-GGA.

The structure in POSCAR format:
```
BaSr2AcHg4
1.0
2.868 1.656 9.437
-2.868 1.656 9.437
0.000 -3.312 9.437
Ba Sr Ac Hg
1 2 1 4
Direct
0.000 0.000 0.000
0.251 0.251 0.251
0.749 0.749 0.749
0.500 0.500 0.500
0.128 0.128 0.128
0.378 0.378 0.378
0.622 0.622 0.622
0.872 0.872 0.872
```

**DFT total energy**: -14.8 eV per cell
**Symmetry**: R-3m
**Density of states at the Fermi level**: 0.812 states/eV per atom

=====

No. 21
This record from the Alexandria database describes an optimized crystal structure of Ag6Sn. The functional is PBE-GGA.

The structure in POSCAR format:
```
Ag6Sn
1.0
2.368 1.367 6.793
-2.368 1.367 6.793
0.000 -2.734 6.793
Ag Sn
6 1
Direct
0.069 0.069 0.069
0.215 0.215 0.215
0.356 0.356 0.356
0.644 0.644 0.644
0.785 0.785 0.785
0.931 0.931 0.931
0.500 0.500 0.500
```

**Symmetry**: R-3m
**Density of states at the Fermi level**: 0.265 states/eV per atom
**Energy above the lowest structure with this stoichiometry**: 0 meV per atom

=====

No. 22
This record from the Alexandria database describes an optimized crystal structure of CaCdCu2Ir. The functional is PBE-GGA.

The structure in POSCAR format:
```
CaCdCu2Ir
1.0
4.802 0.000 0.000
0.000 4.802 0.000
0.000 0.000 4.973
Ca Cd Cu Ir
1 1 2 1
Direct
0.000 0.000 0.000
0.500 0.500 0.500
0.000 0.500 0.000
0.500 0.000 0.000
0.000 0.000 0.500
```

**Symmetry**: P4/mmm
**Density of states at the Fermi level**: 0.780 states/eV per atom
**Energy above the lowest structure with this stoichiometry**: 873 meV per atom

=====

No. 23
This record from the Alexandria database describes an optimized crystal structure of CaMgPb2. The functional is PBE-GGA.

The structure in POSCAR format:
```
CaMgPb2
1.0
4.724 0.000 0.000
0.000 7.702 0.000
-2.355 0.000 6.472
Ca Mg Pb
2 2 4
Direct
0.062 0.250 0.123
0.938 0.750 0.877
0.210 0.750 0.420
0.790 0.250 0.580
0.376 0.038 0.753
0.376 0.462 0.753
0.624 0.538 0.247
0.624 0.962 0.247
```

**DFT total energy**: -24.1 eV per cell
**Symmetry**: P2_1/m
**Density of states at the Fermi level**: 0.440 states/eV per atom

=====

No. 24
This record from the Alexandria database describes an optimized crystal structure of Na8SbO2. The functional is PBE-GGA.

The structure in POSCAR format:
```
Na8SbO2
1.0
3.840 -5.851 0.000
3.840 5.851 0.000
-0.713 0.000 5.085
Na Sb O
8 1 2
Direct
0.096 0.096 0.744
0.165 0.457 0.438
0.229 0.771 0.000
0.457 0.165 0.438
0.543 0.835 0.562
0.771 0.229 0.000
0.835 0.543 0.562
0.904 0.904 0.256
0.500 0.500 0.000
0.179 0.821 0.500
0.821 0.179 0.500
```

**Symmetry**: C2/m
**Density of states at the Fermi level**: 0.184 states/eV per atom
**Uncorrected formation energy**: -7.61 eV per formula unit